Record 1
Material: Ta2Ge2B
Method: DFT, PBE-GGA
State: optimized geometry

## Properties
As for the total magnetization: 0.0 μB/f.u. Its space-group type is P4/mbm. Its energy of formation from the pure elements is 0.633 eV/atom.

Cell lengths 6.4279, 6.4279, 3.7410 Å; angles 90.00, 90.00, 90.00 degrees
Element x y z (fractional)
Ta 0.1644 0.3356 0.0000
Ta 0.3356 0.8356 0.0000
Ta 0.6644 0.1644 0.0000
Ta 0.8356 0.6644 0.0000
Ge 0.1432 0.6432 0.5000
Ge 0.3568 0.1432 0.5000
Ge 0.6432 0.8568 0.5000
Ge 0.8568 0.3568 0.5000
B 0.0000 0.0000 0.5000
B 0.5000 0.5000 0.5000

=====

Record 2
Material: HfCrFe4
Method: DFT, PBE-GGA
State: optimized geometry

## Properties
As for the total magnetization: 9.2 μB/f.u. Its space-group type is F-43m. Its energy of formation from the pure elements is -0.061 eV/atom.

Cell lengths 4.8055, 4.8055, 4.8055 Å; angles 60.00, 60.00, 60.00 degrees
Element x y z (fractional)
Hf 0.0000 0.0000 0.0000
Cr 0.7500 0.7500 0.7500
Fe 0.3760 0.3760 0.3760
Fe 0.3760 0.3760 0.8720
Fe 0.3760 0.8720 0.3760
Fe 0.8720 0.3760 0.3760

=====

Record 3
Material: MgMnIn2
Method: DFT, PBE-GGA
State: optimized geometry

## Properties
As for the total magnetization: 3.5 μB/f.u. Its space-group type is P2/m. Its energy of formation from the pure elements is 0.115 eV/atom.

Cell lengths 3.1023, 4.2157, 6.2336 Å; angles 90.00, 90.11, 90.00 degrees
Element x y z (fractional)
Mg 0.0000 0.0000 0.0000
Mn 0.0000 0.0000 0.5000
In 0.4984 0.5000 0.7383
In 0.5016 0.5000 0.2617

=====

Record 4
Material: GeRhAu2
Method: DFT, PBE-GGA
State: optimized geometry

## Properties
As for the total magnetization: 0.0 μB/f.u. Its space-group type is I-42d. Its energy of formation from the pure elements is 0.097 eV/atom.

Cell lengths 5.8335, 5.8335, 5.8335 Å; angles 101.68, 101.68, 126.53 degrees
Element x y z (fractional)
Ge 0.0000 0.0000 0.0000
Ge 0.7500 0.2500 0.5000
Rh 0.2500 0.7500 0.5000
Rh 0.5000 0.5000 0.0000
Au 0.1065 0.1250 0.4815
Au 0.3750 0.8935 0.0185
Au 0.6435 0.6250 0.5185
Au 0.8750 0.3565 0.9815

=====

Record 5
Material: Ba6MgIn5
Method: DFT, PBE-GGA
State: optimized geometry

## Properties
As for the total magnetization: 0.0 μB/f.u. Its space-group type is Cmmm. Its energy of formation from the pure elements is -0.339 eV/atom.

Cell lengths 9.5577, 9.5577, 8.6386 Å; angles 90.00, 90.00, 143.13 degrees
Element x y z (fractional)
Ba 0.0000 0.0000 0.2460
Ba 0.0000 0.0000 0.7540
Ba 0.3316 0.6684 0.2485
Ba 0.3316 0.6684 0.7515
Ba 0.6684 0.3316 0.2485
Ba 0.6684 0.3316 0.7515
Mg 0.5000 0.5000 0.5000
In 0.1645 0.8355 0.5000
In 0.1647 0.8353 0.0000
In 0.5000 0.5000 0.0000
In 0.8353 0.1647 0.0000
In 0.8355 0.1645 0.5000

=====

Record 6
Material: Ac2GaCu9
Method: DFT, PBE-GGA
State: optimized geometry

## Properties
As for the total magnetization: 0.0 μB/f.u. Its space-group type is R-3m. Its energy of formation from the pure elements is 0.046 eV/atom.

Cell lengths 9.1535, 9.1535, 9.1535 Å; angles 33.36, 33.36, 33.36 degrees
Element x y z (fractional)
Ac 0.1322 0.1322 0.1322
Ac 0.8678 0.8678 0.8678
Ga 0.0000 0.0000 0.0000
Cu 0.0779 0.5757 0.5757
Cu 0.3327 0.3327 0.3327
Cu 0.4243 0.4243 0.9221
Cu 0.4243 0.9221 0.4243
Cu 0.5000 0.5000 0.5000
Cu 0.5757 0.0779 0.5757
Cu 0.5757 0.5757 0.0779
Cu 0.6673 0.6673 0.6673
Cu 0.9221 0.4243 0.4243

=====

Record 7
Material: Re2NiHg
Method: DFT, PBE-GGA
State: optimized geometry

## Properties
As for the total magnetization: 0.0 μB/f.u. Its space-group type is Cm. Its energy of formation from the pure elements is 0.542 eV/atom.

Cell lengths 4.7080, 4.7080, 5.0296 Å; angles 98.51, 98.51, 34.41 degrees
Element x y z (fractional)
Re 0.0000 0.0000 0.0000
Re 0.2464 0.2464 0.8123
Ni 0.7342 0.7342 0.2533
Hg 0.4874 0.4874 0.4910

=====

Record 8
Material: Fe2CuMo
Method: DFT, PBE-GGA
State: optimized geometry

## Properties
As for the total magnetization: 3.4 μB/f.u. Its space-group type is Cmmm. Its energy of formation from the pure elements is 0.251 eV/atom.

Cell lengths 4.5240, 4.5240, 2.6240 Å; angles 90.00, 90.00, 108.76 degrees
Element x y z (fractional)
Fe 0.0000 0.5000 0.0000
Fe 0.5000 0.0000 0.0000
Cu 0.0000 0.0000 0.5000
Mo 0.5000 0.5000 0.5000